YZr2P: PBEsol geometry, SCAN.

Properties
**Crystal system**: orthorhombic
**Space group**: Imm2, No. 44
**Energy of formation**: -0.4745 eV per atom

Unit cell a=6.440 b=6.440 c=6.440 alpha=149.33 beta=139.92 gamma=51.30
Fractional positions:
Y (0.000, 0.000, 0.000)
Zr (0.309, 0.809, 0.500)
Zr (0.635, 0.635, 0.000)
P (0.806, 0.306, 0.500)

Rb2PbN2: PBEsol geometry, SCAN.

Properties
**Crystal system**: tetragonal
**Space group**: I4/mmm, No. 139

Unit cell a=6.485 b=6.485 c=6.485 alpha=122.53 beta=122.53 gamma=85.67
Fractional positions:
Rb (0.250, 0.750, 0.500)
Rb (0.750, 0.250, 0.500)
Pb (0.000, 0.000, 0.000)
N (0.441, 0.441, 0.000)
N (0.559, 0.559, 0.000)

Number 1: V 21.82 Å³/atom, energy -25.384 eV per atom. Number 2: V 36.98 Å³/atom, energy -27.143 eV per atom.